The following is a DFT calculation (PBE) of a relaxed SrMg5Zn3 crystal.

For the energy relative to the elements, the calculation gives -83 meV/atom.

The space group is Cmcm (No. 63) and the conventional cell measures 4.350, 14.417 and 13.675 Å, with angles of 90.00, 90.00 and 90.00 degrees. The inequivalent atoms are Sr at (0.000, 0.163, 0.250), Mg at (0.000, 0.000, 0.000), Mg at (0.000, 0.199, 0.558), Mg at (0.000, 0.438, 0.144), Zn at (0.000, 0.135, 0.750) and Zn at (0.000, 0.386, 0.558).